A plane-wave DFT calculation with PBE with a Hubbard U was carried out for crystalline V4O7F5 at its relaxed geometry.

Lattice parameters (Å, degrees): 5.3001 5.6477 9.0782 78.14 87.69 63.73
Fractional coordinates of all 16 atoms:
V1 0.0000 0.0000 0.0000
V2 0.1352 0.3562 0.4336
V3 0.2773 0.4702 0.8099
V4 0.7261 0.5636 0.9299
O1 0.0478 0.2880 0.8436
O2 0.1244 0.6004 0.2744
O3 0.5703 0.2739 0.9346
O4 0.8193 0.3291 0.3964
O5 0.8623 0.3297 0.5539
O6 0.9113 0.8294 0.1944
O7 0.9880 0.7419 0.8878
F1 0.2605 0.4757 0.5915
F2 0.4224 0.7940 0.0431
F3 0.4336 0.0501 0.4306
F4 0.4575 0.7327 0.7500
F5 0.9383 0.3052 0.1152

Computed properties:
relative energy among the computed polymorphs = 288 meV per atom
SG = P1, No. 1
spin magnetization = 5.00 μB/cell
crystal system = triclinic